[1]
Be3Pd: optimized geometry, PBE-GGA.

Geometry as POSCAR:
```
Be3Pd
1.0
-3.071 -0.240 -1.248
1.014 -2.429 -2.029
0.201 -1.105 4.145
Be Pd
3 1
direct
0.500 0.500 0.000 Be
0.750 0.250 0.500 Be
0.250 0.750 0.500 Be
0.000 0.000 0.000 Pd
```



[2]
Ce3SmAl8: optimized geometry, PBE-GGA.

Geometry as POSCAR:
```
Ce3SmAl8
1.0
5.630 0.000 0.000
2.815 4.876 0.000
2.815 1.625 9.169
Al Sm Ce
8 1 3
direct
0.437 0.938 0.687 Al
0.938 0.938 0.687 Al
0.936 0.438 0.188 Al
0.687 0.687 0.938 Al
0.438 0.936 0.188 Al
0.187 0.187 0.438 Al
0.438 0.438 0.188 Al
0.938 0.437 0.687 Al
0.875 0.875 0.375 Sm
0.002 0.002 0.995 Ce
0.375 0.375 0.874 Ce
0.498 0.498 0.506 Ce
```

Energy above the lowest structure with this stoichiometry = 0.00 eV per formula unit



Number 1: formation energy -322 meV per atom, total magnetic moment 0.00 μB per cell, uncorrected energy -17.66 eV per cell. Number 2: formation energy -468 meV per atom, total magnetic moment 2.54 μB per cell, uncorrected energy -58.08 eV per cell.